Below is an optimized crystal structure of ZrAgP2, with properties calculated at the PBE-GGA level.

Properties
**Size of the total moment**: 0.0 μB/f.u.
**Calculated total energy**: -23.7 eV per cell
**Energy relative to the elements**: -0.38 eV per atom
**Volume**: 67.1 Å³/cell
**Symmetry**: P4/mmm
**Relative energy among the computed polymorphs**: 82 meV/atom

```
data_ZrAgP2
_chemical_formula_sum 'Zr1 Ag1 P2'
_space_group_name_H-M_alt 'P 1'
_space_group_IT_number 1
_space_group_name_Hall 'P 1'
_cell_length_a 4.426
_cell_length_b 4.426
_cell_length_c 3.427
_cell_angle_alpha 90.00
_cell_angle_beta 90.00
_cell_angle_gamma 90.00
loop_
_atom_site_label
_atom_site_fract_x
_atom_site_fract_y
_atom_site_fract_z
Zr1 0.000 0.000 0.000
Ag1 0.500 0.500 0.000
P1 0.000 0.500 0.500
P2 0.500 0.000 0.500
```